No. 1
Below is a relaxed structure of Y4Cd2C, with properties calculated at the GGA-PBE level.

The structure in POSCAR format:
```
Y4Cd2C
1.0
4.938 0.000 0.000
0.000 4.938 0.000
2.469 2.469 7.543
Y C Cd
4 1 2
direct
0.500 0.000 0.000
0.000 0.500 0.000
0.164 0.164 0.672
0.836 0.836 0.328
0.000 0.000 0.000
0.632 0.632 0.736
0.368 0.368 0.264
```

Summary:
**Spin magnetization**: 0.00 μB per formula unit
**Space-group type**: I4/mmm, No. 139
**VASP energy**: -38.5 eV/cell

---

No. 2
Below is a relaxed structure of Y3CdC, with properties calculated at the GGA-PBE level.

The structure in POSCAR format:
```
Y3CdC
1.0
-2.774 -6.104 -1.793
5.390 2.407 -3.650
5.088 2.060 5.653
Y C Cd
6 2 2
direct
0.168 0.816 0.518
0.004 0.519 0.084
0.502 0.017 0.084
0.640 0.287 0.518
0.930 0.005 0.998
0.258 0.312 0.632
0.313 0.912 0.287
0.574 0.161 0.797
0.698 0.784 0.544
0.467 0.533 0.063
```

Summary:
**Spin magnetization**: 0.00 μB per formula unit
**Space-group type**: Cm, No. 8
**VASP energy**: -61.7 eV/cell

---

No. 3
Below is a relaxed structure of Y3CdC, with properties calculated at the GGA-PBE level.

The structure in POSCAR format:
```
Y3CdC
1.0
9.795 -0.020 -0.027
1.352 3.368 0.000
4.717 -1.893 7.334
Cd Y C
2 6 2
direct
0.264 0.162 0.045
0.977 0.949 0.108
0.625 0.801 0.260
0.859 0.568 0.487
0.383 0.543 0.666
0.997 0.429 0.773
0.616 0.310 0.893
0.245 0.681 0.379
0.321 0.105 0.524
0.921 0.005 0.629
```

Summary:
**Spin magnetization**: 0.00 μB per formula unit
**Space-group type**: P2_1/m, No. 11
**VASP energy**: -61.9 eV/cell

---

No. 4
Below is a relaxed structure of Y3CdC, with properties calculated at the GGA-PBE level.

The structure in POSCAR format:
```
Y3CdC
1.0
13.234 0.000 0.810
5.319 6.804 -2.400
-5.319 6.804 2.400
Cd Y C
4 12 4
direct
0.085 0.482 0.377
0.585 0.123 0.018
0.415 0.877 0.982
0.915 0.518 0.623
0.424 0.136 0.202
0.427 0.641 0.737
0.573 0.359 0.263
0.924 0.298 0.364
0.927 0.763 0.859
0.576 0.864 0.798
0.073 0.237 0.141
0.076 0.702 0.636
0.916 0.034 0.100
0.416 0.400 0.466
0.584 0.600 0.534
0.084 0.966 0.900
0.250 0.815 0.315
0.750 0.453 0.953
0.750 0.185 0.685
0.250 0.547 0.047
```

Summary:
**Spin magnetization**: 0.00 μB per formula unit
**Space-group type**: C2/c, No. 15
**VASP energy**: -122.9 eV/cell

---

DOS(E_F), respectively: 9.666, 0.635, 5.856, 5.856 states/eV/f.u..
Energy of formation from the pure elements, respectively: -225, -267, -285, -240 meV/atom.